[1]
First-principles (GGA-PBE) data for a relaxed LiNdGa crystal, as listed in Alexandria.

a b c (Å): 4.243 4.243 9.446
angles (deg): 102.98 102.98 90.00
Last column: magnetic moment on the atom in μB.
Fractional positions:
Li  0.786  0.786  0.572  0.00
Ga  0.068  0.068  0.137  0.00
Li  0.214  0.214  0.428  0.00
Ga  0.932  0.932  0.863  0.00
Nd  0.404  0.404  0.808  0.08
Nd  0.596  0.596  0.192  0.08

Output
Electronic total energy in Ry/atom: -0.2437
SG: I4/mmm
E above lowest polymorph in eV/atom: 0.302
Energy of formation from the pure elements in eV per atom: -0.080

[2]
First-principles (GGA-PBE) data for a relaxed Li3Nd2Ga2 crystal, as listed in Alexandria.

a b c (Å): 3.815 4.363 10.694
angles (deg): 101.77 90.00 90.00
Fractional positions:
Ga  0.500  0.713  0.426
Li  0.500  0.431  0.861
Ga  0.500  0.287  0.574
Li  0.500  0.569  0.139
Nd  0.000  0.165  0.330
Li  0.000  0.000  0.000
Nd  0.000  0.835  0.670

Output
Electronic total energy in Ry/atom: -0.2436
SG: Cmmm
Energy of formation from the pure elements in eV per atom: -0.267

[3]
First-principles (GGA-PBE) data for a relaxed LiNdGa2 crystal, as listed in Alexandria.

a b c (Å): 3.921 7.474 11.776
angles (deg): 90.00 90.00 90.00
Fractional positions:
Ga  0.250  0.192  0.139
Ga  0.750  0.967  0.669
Li  0.750  0.383  0.049
Ga  0.250  0.692  0.361
Li  0.250  0.117  0.549
Nd  0.750  0.862  0.138
Nd  0.250  0.638  0.638
Li  0.250  0.617  0.951
Nd  0.750  0.362  0.362
Ga  0.250  0.533  0.169
Ga  0.750  0.808  0.861
Li  0.750  0.883  0.451
Ga  0.250  0.033  0.331
Ga  0.750  0.467  0.831
Ga  0.750  0.308  0.639
Nd  0.250  0.138  0.862

Output
Electronic total energy in Ry/atom: -0.2676
SG: Pnma
E above lowest polymorph in eV/atom: 0.028
Energy of formation from the pure elements in eV per atom: -0.457

[4]
First-principles (GGA-PBE) data for a relaxed LiNdGa4 crystal, as listed in Alexandria.

a b c (Å): 4.317 5.714 5.715
angles (deg): 75.39 67.81 67.81
Fractional positions:
Ga  0.336  0.864  0.963
Ga  0.664  0.136  0.037
Nd  0.000  0.000  0.500
Li  0.000  0.500  0.000
Ga  0.664  0.537  0.636
Ga  0.336  0.463  0.364

Output
Electronic total energy in Ry/atom: -0.2636
SG: Immm
Energy of formation from the pure elements in eV per atom: -0.454

[5]
First-principles (GGA-PBE) data for a relaxed LiNdGa2 crystal, as listed in Alexandria.

a b c (Å): 3.874 4.791 4.791
angles (deg): 90.00 90.00 90.00
Fractional positions:
Ga  0.000  0.500  0.000
Nd  0.500  0.500  0.500
Ga  0.000  0.000  0.500
Li  0.500  0.000  0.000

Output
Electronic total energy in Ry/atom: -0.2622
SG: P4/mmm
E above lowest polymorph in eV/atom: 0.101
Energy of formation from the pure elements in eV per atom: -0.384

[6]
First-principles (GGA-PBE) data for a relaxed LiNdGa2 crystal, as listed in Alexandria.

a b c (Å): 4.347 4.347 5.789
angles (deg): 67.95 67.95 60.00
Fractional positions:
Ga  0.209  0.209  0.373
Nd  0.000  0.000  0.000
Li  0.500  0.500  0.500
Ga  0.791  0.791  0.627

Output
Electronic total energy in Ry/atom: -0.2697
SG: R-3m
E above lowest polymorph in eV/atom: 0.000
Energy of formation from the pure elements in eV per atom: -0.485

[7]
First-principles (GGA-PBE) data for a relaxed LiNdGaNi crystal, as listed in Alexandria.

a b c (Å): 4.623 4.623 4.623
angles (deg): 60.00 60.00 60.00
Fractional positions:
Ga  0.500  0.500  0.500
Li  0.750  0.750  0.750
Ni  0.250  0.250  0.250
Nd  0.000  0.000  0.000

Output
Electronic total energy in Ry/atom: -0.3082
SG: F-43m
Energy of formation from the pure elements in eV per atom: -0.321

[8]
First-principles (GGA-PBE) data for a relaxed LiNd2Ga3Ni4 crystal, as listed in Alexandria.

a b c (Å): 4.083 4.083 10.241
angles (deg): 90.00 90.00 90.00
Fractional positions:
Ga  0.000  0.000  0.500
Ni  0.500  0.000  0.638
Ni  0.000  0.000  0.000
Li  0.500  0.500  0.500
Nd  0.000  0.500  0.754
Nd  0.500  0.000  0.246
Ni  0.000  0.500  0.362
Ni  0.500  0.500  0.000
Ga  0.000  0.500  0.124
Ga  0.500  0.000  0.876

Output
Electronic total energy in Ry/atom: -0.3545
SG: P-4m2
Energy of formation from the pure elements in eV per atom: -0.458